1.
Entry from Alexandria via LeMat-Bulk: a geometry-optimized Rb3HgBr6 structure (GGA-PBE).

abc: 12.1188 12.1188 6.1698
angles: 90.00 90.00 104.02
Sites, in units of the cell vectors:
Rb 0.1176 0.8824 0.5000
Rb 0.1979 0.4341 0.5174
Rb 0.4341 0.1979 0.0174
Rb 0.5659 0.8021 0.5174
Rb 0.8021 0.5659 0.0174
Rb 0.8824 0.1176 0.0000
Hg 0.2949 0.7051 0.1068
Hg 0.7051 0.2949 0.6068
Br 0.0763 0.6219 0.2131
Br 0.1591 0.1621 0.2625
Br 0.1621 0.1591 0.7625
Br 0.2891 0.7109 0.6737
Br 0.3781 0.9237 0.2131
Br 0.4317 0.5683 0.1892
Br 0.5683 0.4317 0.6892
Br 0.6219 0.0763 0.7131
Br 0.7109 0.2891 0.1737
Br 0.8379 0.8409 0.2625
Br 0.8409 0.8379 0.7625
Br 0.9237 0.3781 0.7131

Properties
Total magnetization = 0.00 μB/atom
Energy above the most stable polymorph in this dataset = 0.0 meV per atom
Mass density = 3.54 Mg/m³
Volume = 43.96 Å³/atom
ΔE_f (raw) = -1.17 eV per atom

2.
Entry from Alexandria via LeMat-Bulk: a geometry-optimized Rb2Hg2Br5 structure (GGA-PBE).

abc: 5.6377 5.6377 10.8600
angles: 90.00 90.00 90.00
Sites, in units of the cell vectors:
Rb 0.0000 0.0000 0.0000
Rb 0.0000 0.0000 0.5000
Hg 0.5000 0.5000 0.2309
Hg 0.5000 0.5000 0.7691
Br 0.0000 0.5000 0.2056
Br 0.0000 0.5000 0.7944
Br 0.5000 0.0000 0.2056
Br 0.5000 0.0000 0.7944
Br 0.5000 0.5000 0.5000

Properties
Total magnetization = 0.00 μB/atom
Energy above the most stable polymorph in this dataset = 0.0 meV per atom
Mass density = 4.67 Mg/m³
Volume = 38.35 Å³/atom
ΔE_f (raw) = -0.98 eV per atom

3.
Entry from Alexandria via LeMat-Bulk: a geometry-optimized RbHgBr structure (GGA-PBE).

abc: 8.2293 8.2293 8.2293
angles: 90.00 90.00 90.00
Sites, in units of the cell vectors:
Rb 0.0000 0.0000 0.0000
Rb 0.0000 0.5000 0.5000
Rb 0.5000 0.0000 0.5000
Rb 0.5000 0.5000 0.0000
Hg 0.2500 0.2500 0.2500
Hg 0.2500 0.7500 0.7500
Hg 0.7500 0.2500 0.7500
Hg 0.7500 0.7500 0.2500
Br 0.2500 0.2500 0.7500
Br 0.2500 0.7500 0.2500
Br 0.7500 0.2500 0.2500
Br 0.7500 0.7500 0.7500

Properties
Total magnetization = 0.00 μB/atom
Energy above the most stable polymorph in this dataset = 100.9 meV per atom
Mass density = 4.36 Mg/m³
Volume = 46.44 Å³/atom
ΔE_f (raw) = -1.00 eV per atom